1.
Material: LiTeBr4
Method: DFT, PBEsol
State: relaxed

Results
Space-group type: F-43m
Uncorrected formation energy, eV per atom: 0.27
Electronic total energy, eV/f.u.: -11.4

Cell lengths 6.151, 6.151, 6.151 Å; angles 60.00, 60.00, 60.00 degrees
Fractional positions:
Li (0.000, 0.000, 0.000)
Te (0.250, 0.250, 0.250)
Br (0.126, 0.625, 0.625)
Br (0.625, 0.126, 0.625)
Br (0.625, 0.625, 0.126)
Br (0.625, 0.625, 0.625)

---

2.
Material: EuZnSi
Method: DFT, PBEsol
State: relaxed

Results
Space-group type: P6_3/mmc
Uncorrected formation energy, eV per atom: -0.55
Electronic total energy, eV/f.u.: -19.5

Cell lengths 4.198, 4.198, 8.212 Å; angles 90.00, 90.00, 120.00 degrees
Fractional positions:
Eu (0.000, 0.000, 0.000)
Eu (0.000, 0.000, 0.500)
Zn (0.333, 0.667, 0.250)
Zn (0.667, 0.333, 0.750)
Si (0.333, 0.667, 0.750)
Si (0.667, 0.333, 0.250)

---

3.
Material: GePbS3
Method: DFT, PBEsol
State: relaxed

Results
Space-group type: P2_1/c
Uncorrected formation energy, eV per atom: -0.44
Electronic total energy, eV/f.u.: -24.3

Cell lengths 7.203, 10.301, 6.823 Å; angles 90.00, 105.29, 90.00 degrees
Fractional positions:
Ge (0.179, 0.204, 0.008)
Ge (0.179, 0.296, 0.508)
Ge (0.821, 0.704, 0.492)
Ge (0.821, 0.796, 0.992)
Pb (0.362, 0.584, 0.222)
Pb (0.362, 0.916, 0.722)
Pb (0.638, 0.084, 0.278)
Pb (0.638, 0.416, 0.778)
S (0.019, 0.717, 0.811)
S (0.019, 0.783, 0.311)
S (0.269, 0.003, 0.088)
S (0.269, 0.497, 0.588)
S (0.441, 0.177, 0.587)
S (0.441, 0.323, 0.087)
S (0.559, 0.677, 0.913)
S (0.559, 0.823, 0.413)
S (0.731, 0.503, 0.412)
S (0.731, 0.997, 0.912)
S (0.981, 0.217, 0.689)
S (0.981, 0.283, 0.189)

---

Question: Among the records above, which one has the lowest electronic total energy?
Answer: GePbS3